A relaxed structure of LiDyZnSe3. Source: the Open Quantum Materials Database, functional PBE.

E above lowest polymorph in eV per atom: 0.0000
Theoretical density in g/cm3: 5.18
Crystal system: monoclinic
Electronic total energy in eV/atom: -4.343

a b c (Å): 7.821 4.015 9.903
angles (deg): 90.00 103.60 90.00
Fractional positions:
Se (0.584, 0.250, 0.352)
Li (0.821, 0.750, 0.369)
Zn (0.080, 0.250, 0.101)
Zn (0.920, 0.750, 0.899)
Dy (0.327, 0.750, 0.348)
Se (0.937, 0.750, 0.651)
Se (0.063, 0.250, 0.349)
Se (0.762, 0.250, 0.958)
Se (0.238, 0.750, 0.042)
Se (0.416, 0.750, 0.648)
Dy (0.673, 0.250, 0.652)
Li (0.179, 0.250, 0.631)